Zn3Co: relaxed, GGA-PBE.

Computed properties:
calculated formation energy: -42 meV/atom
total magnetic moment: 0.00 Bohr magnetons per cell
total DFT energy (no corrections): -22.19 eV per cell
V: 104 Å³/cell
space group: P6_3/mmc

Structure (extended XYZ):
```
8
Lattice="5.308 0.000 0.000 -2.654 4.597 0.000 0.000 0.000 4.255" Properties=species:S:1:pos:R:3 pbc="T T T"
Zn 0.000 1.575 1.064
Zn -1.290 3.809 1.064
Zn 1.364 0.788 3.192
Zn 1.290 3.809 1.064
Zn 3.944 0.788 3.192
Zn 2.654 3.022 3.192
Co 0.000 3.065 3.192
Co 2.654 1.532 1.064
```